[1]
A geometry-optimized PdAuN2O structure, computed with PBEsol.

M_tot = 3.0 μB per formula unit
energy = -4.865 eV/atom

Cell: 3.8731 3.8731 4.0370 Å, 90.00 90.00 90.00°
Last column: nearest neighbours and their distance in Å.
Space group P4/mmm (No. 123)
One atom of each set of equivalent atoms:
Pd1 0.0000 0.0000 0.0000 [1 per cell]  4 N 1.94, 2 O 2.02
Au1 0.5000 0.5000 0.5000 [1 per cell]  4 O 2.74, 8 N 2.80
N1 0.0000 0.5000 0.0000 [2 per cell]  2 Pd 1.94
O1 0.0000 0.0000 0.5000 [1 per cell]  2 Pd 2.02

---

[2]
A geometry-optimized CsLu2Cl7 structure, computed with PBEsol.

M_tot = 0.0 μB per formula unit
energy = -4.736 eV/atom

Cell: 13.6386 6.7617 12.2453 Å, 90.00 90.00 90.00°
Last column: nearest neighbours and their distance in Å.
Space group Pnma (No. 62)
One atom of each set of equivalent atoms:
Cs1 0.0354 0.2500 0.2059 [4 per cell]  10 Cl 3.53-3.63
Lu1 0.2445 0.2500 0.5519 [4 per cell]  7 Cl 2.62-2.69
Lu2 0.2488 0.2500 0.8549 [4 per cell]  7 Cl 2.61-2.66
Cl1 0.1122 0.7500 0.2023 [4 per cell]  2 Lu 2.66-2.69
Cl2 0.1314 0.0096 0.4382 [8 per cell]  2 Lu 2.61-2.64
Cl3 0.1340 0.0100 0.9694 [8 per cell]  2 Lu 2.62-2.65
Cl4 0.1833 0.0079 0.7040 [8 per cell]  2 Lu 2.62

---

[3]
A geometry-optimized ZnSeBr structure, computed with PBEsol.

M_tot = 0.0 μB per formula unit
energy = -2.754 eV/atom

Cell: 3.4665 3.4665 6.7310 Å, 90.00 90.00 120.00°
Last column: nearest neighbours and their distance in Å.
Space group P3m1 (No. 156)
One atom of each set of equivalent atoms:
Zn1 0.0000 0.0000 0.0000 [1 per cell]  3 Br 2.57, 3 Se 2.58
Se1 0.6667 0.3333 0.2426 [1 per cell]  3 Zn 2.58
Br1 0.3333 0.6667 0.7612 [1 per cell]  3 Zn 2.57

---

[4]
A geometry-optimized Mn2GaCuHg structure, computed with PBEsol.

M_tot = 8.2 μB per formula unit
ΔE_f = 0.871 eV/atom

Cell: 4.5598 4.5598 4.7555 Å, 90.00 90.00 90.00°
Last column: nearest neighbours and their distance in Å.
Space group P4/mmm (No. 123)
One atom of each set of equivalent atoms:
Mn1 0.0000 0.5000 0.0000 [2 per cell]  2 Cu 2.28
Ga1 0.0000 0.0000 0.5000 [1 per cell]  4 Hg 3.22, 8 Mn 3.29
Cu1 0.5000 0.5000 0.0000 [1 per cell]  4 Mn 2.28, 2 Hg 2.38
Hg1 0.5000 0.5000 0.5000 [1 per cell]  2 Cu 2.38